The following is a PBE calculation of CrSi2Au after structural relaxation, from Alexandria via LeMat-Bulk.

Structure (CIF):
```
data_CrSi2Au
_space_group_name_H-M_alt 'P 1'
_space_group_IT_number 1
_space_group_name_Hall 'P 1'
_cell_length_a 4.478
_cell_length_b 4.478
_cell_length_c 4.478
_cell_angle_alpha 60.00
_cell_angle_beta 60.00
_cell_angle_gamma 60.00
loop_
_atom_site_label
_atom_site_fract_x
_atom_site_fract_y
_atom_site_fract_z
Au1 0.500 0.500 0.500
Si1 0.250 0.250 0.250
Si2 0.000 0.000 0.000
Cr1 0.750 0.750 0.750
```

As for the uncorrected formation energy: 439 meV/atom. The uncorrected energy comes out at -5.50 eV per atom.

The following is a PBE calculation of CrSi2Au after structural relaxation, from Alexandria via LeMat-Bulk.

Structure (CIF):
```
data_CrSi2Au
_space_group_name_H-M_alt 'P 1'
_space_group_IT_number 1
_space_group_name_Hall 'P 1'
_cell_length_a 2.881
_cell_length_b 2.881
_cell_length_c 7.290
_cell_angle_alpha 90.00
_cell_angle_beta 90.00
_cell_angle_gamma 90.00
loop_
_atom_site_label
_atom_site_fract_x
_atom_site_fract_y
_atom_site_fract_z
Cr1 0.500 0.500 0.783
Au1 0.000 0.000 0.510
Si1 0.500 0.500 0.225
Si2 0.000 0.000 0.982
```

As for the uncorrected formation energy: 270 meV/atom. The uncorrected energy comes out at -5.67 eV per atom.

The following is a PBE calculation of CrSi2Au after structural relaxation, from Alexandria via LeMat-Bulk.

Structure (CIF):
```
data_CrSi2Au
_space_group_name_H-M_alt 'P 1'
_space_group_IT_number 1
_space_group_name_Hall 'P 1'
_cell_length_a 8.110
_cell_length_b 8.110
_cell_length_c 8.110
_cell_angle_alpha 21.11
_cell_angle_beta 21.11
_cell_angle_gamma 21.11
loop_
_atom_site_label
_atom_site_fract_x
_atom_site_fract_y
_atom_site_fract_z
Au1 0.503 0.503 0.503
Si1 0.255 0.255 0.255
Si2 0.000 0.000 0.000
Cr1 0.742 0.742 0.742
```

As for the uncorrected formation energy: 274 meV/atom. The uncorrected energy comes out at -5.66 eV per atom.